Entry 1:
! Sc2AsCl | Alexandria via LeMat-Bulk | PBEsol | relaxed; values from VASP
&SYSTEM
  ibrav = 0, nat = 4, ntyp = 3
/
ATOMIC_SPECIES
Sc 44.96 Sc.upf
As 74.92 As.upf
Cl 35.45 Cl.upf
CELL_PARAMETERS angstrom
2.118 -2.516 0.000
2.118 2.516 0.000
0.000 0.000 6.957
ATOMIC_POSITIONS angstrom
Sc 0.000 0.000 1.597
Sc 0.000 0.000 5.360
As 2.118 0.000 0.000
Cl 2.118 0.000 3.479
! **Raw formation energy**: -102.3 kJ/mol of atoms


Entry 2:
! ZnCd3Fe | Alexandria via LeMat-Bulk | PBEsol | relaxed; values from VASP
&SYSTEM
  ibrav = 0, nat = 5, ntyp = 3
/
ATOMIC_SPECIES
Zn 65.41 Zn.upf
Cd 112.41 Cd.upf
Fe 55.84 Fe.upf
CELL_PARAMETERS angstrom
4.828 0.000 0.000
0.000 4.828 0.000
0.000 0.000 4.828
ATOMIC_POSITIONS angstrom
Zn 0.000 0.000 0.000
Cd 0.000 0.000 2.414
Cd 0.000 2.414 0.000
Cd 2.414 0.000 0.000
Fe 2.414 2.414 2.414
! **Calculated formation energy**: 0.9191 eV per atom


Entry 3:
! Ca2MoP | Alexandria via LeMat-Bulk | PBEsol | relaxed; values from VASP
&SYSTEM
  ibrav = 0, nat = 4, ntyp = 3
/
ATOMIC_SPECIES
Ca 40.08 Ca.upf
Mo 95.94 Mo.upf
P 30.97 P.upf
CELL_PARAMETERS angstrom
3.796 0.000 0.000
0.000 3.796 0.000
0.000 0.000 5.480
ATOMIC_POSITIONS angstrom
Ca 0.000 0.000 1.309
Ca 0.000 0.000 4.171
Mo 1.898 1.898 2.740
P 1.898 1.898 0.000
! **Calculated formation energy**: 0.2182 eV per atom


Entry 4:
! ZnNi2H2 | Alexandria via LeMat-Bulk | PBEsol | relaxed; values from VASP
&SYSTEM
  ibrav = 0, nat = 5, ntyp = 3
/
ATOMIC_SPECIES
Zn 65.41 Zn.upf
Ni 58.69 Ni.upf
H 1.01 H.upf
CELL_PARAMETERS angstrom
-1.461 1.461 4.551
1.461 -1.461 4.551
1.461 1.461 -4.551
ATOMIC_POSITIONS angstrom
Zn 0.000 0.000 0.000
Ni 0.000 0.000 3.147
Ni 0.000 0.000 5.956
H 1.461 0.000 2.276
H 0.000 1.461 2.276
! **VASP energy**: -4.252 eV per atom


Entry 5:
! BaTaTe2 | Alexandria via LeMat-Bulk | PBEsol | relaxed; values from VASP
&SYSTEM
  ibrav = 0, nat = 4, ntyp = 3
/
ATOMIC_SPECIES
Ba 137.33 Ba.upf
Ta 180.95 Ta.upf
Te 127.60 Te.upf
CELL_PARAMETERS angstrom
0.000 3.823 3.823
3.823 0.000 3.823
3.823 3.823 0.000
ATOMIC_POSITIONS angstrom
Ba 0.000 0.000 0.000
Ta 1.912 1.912 1.912
Te 3.823 3.823 3.823
Te 5.735 5.735 5.735
! **Polymorph energy (0 for the lowest one)**: 1.014 eV per atom
! **Raw formation energy**: 49.5 kJ/mol of atoms


Entry 6:
! RbInTcI2 | Alexandria via LeMat-Bulk | PBEsol | relaxed; values from VASP
&SYSTEM
  ibrav = 0, nat = 5, ntyp = 4
/
ATOMIC_SPECIES
Rb 85.47 Rb.upf
In 114.82 In.upf
Tc 98.00 Tc.upf
I 126.90 I.upf
CELL_PARAMETERS angstrom
6.334 0.000 0.000
0.000 6.334 0.000
0.000 0.000 5.279
ATOMIC_POSITIONS angstrom
Rb 0.000 0.000 0.000
In 3.167 3.167 2.639
Tc 3.167 3.167 0.000
I 0.000 3.167 2.639
I 3.167 0.000 2.639
! **Raw formation energy**: 43.1 kJ/mol of atoms


Entry 7:
! SiSbP4 | Alexandria via LeMat-Bulk | PBEsol | relaxed; values from VASP
&SYSTEM
  ibrav = 0, nat = 6, ntyp = 3
/
ATOMIC_SPECIES
Si 28.09 Si.upf
Sb 121.76 Sb.upf
P 30.97 P.upf
CELL_PARAMETERS angstrom
0.000 3.711 3.711
3.711 0.000 3.711
3.711 3.711 0.000
ATOMIC_POSITIONS angstrom
Si 0.000 0.000 0.000
Sb 5.566 5.566 5.566
P 2.698 2.698 2.698
P 4.724 4.724 2.698
P 4.724 2.698 4.724
P 2.698 4.724 4.724
! **Raw formation energy**: 61.2 kJ/mol of atoms


Entry 8:
! AsP2Pb | Alexandria via LeMat-Bulk | PBEsol | relaxed; values from VASP
&SYSTEM
  ibrav = 0, nat = 4, ntyp = 3
/
ATOMIC_SPECIES
As 74.92 As.upf
P 30.97 P.upf
Pb 207.20 Pb.upf
CELL_PARAMETERS angstrom
3.799 0.000 0.000
0.000 5.553 0.000
0.000 0.000 4.014
ATOMIC_POSITIONS angstrom
As 0.000 0.000 0.000
P 0.000 2.777 0.085
P 1.900 0.000 2.506
Pb 1.900 2.777 2.020
! **Polymorph energy (0 for the lowest one)**: 0.000 eV per atom
! **Calculated formation energy**: 0.2016 eV per atom


What did the fifth record say?
! BaTaTe2 | Alexandria via LeMat-Bulk | PBEsol | relaxed; values from VASP
&SYSTEM
  ibrav = 0, nat = 4, ntyp = 3
/
ATOMIC_SPECIES
Ba 137.33 Ba.upf
Ta 180.95 Ta.upf
Te 127.60 Te.upf
CELL_PARAMETERS angstrom
0.000 3.823 3.823
3.823 0.000 3.823
3.823 3.823 0.000
ATOMIC_POSITIONS angstrom
Ba 0.000 0.000 0.000
Ta 1.912 1.912 1.912
Te 3.823 3.823 3.823
Te 5.735 5.735 5.735
! **Polymorph energy (0 for the lowest one)**: 1.014 eV per atom
! **Raw formation energy**: 49.5 kJ/mol of atoms